Density functional theory data (PBE) for an optimized crystal structure of HgPS3.

**DFT total energy**: -3.75 eV/atom
**Magnetic moment**: 0.00 μB/f.u.
**Formation energy (no corrections)**: -129 meV per atom

Unit cell a=7.0066 b=7.0674 c=9.1031 alpha=95.16 beta=110.08 gamma=112.56
Last column: nearest neighbours and their distance in Å.
Sites, in units of the cell vectors:
Hg (0.0000, 0.0000, 0.0000)  4 S 3.34-3.74
Hg (0.3907, 0.3893, 0.5623)  3 S 2.43-2.65
P (0.1669, 0.4992, 0.8370)  2 S 1.92-2.06
P (0.8591, 0.3712, 0.4993)  4 S 2.00-2.13
S (0.0675, 0.6738, 0.6675)  2 P 2.13-2.16
S (0.1879, 0.5925, 0.0495)  1 P 1.92
S (0.4597, 0.4869, 0.8449)  1 P 2.06
S (0.5410, 0.3296, 0.3630)  1 P 2.03
S (0.8750, 0.2031, 0.6822)  2 P 2.13-2.18
S (0.9838, 0.3053, 0.3446)  1 P 2.00